# 1
Compound: U2SiTc3
Source: Alexandria via LeMat-Bulk
Functional: PBE-GGA
Structure: relaxed

a = 5.5497 Å, b = 5.5497 Å, c = 11.4937 Å
α = 90.00°, β = 90.00°, γ = 120.00°
Space group R-3m (No. 166, hexagonal axes)
Asymmetric unit:
U (0.0000, 0.0000, 0.1183)
Si (0.0000, 0.0000, 0.5000)
Tc (0.0000, 0.5000, 0.0000)

Calculated values
The volume comes out at 17.03 Å³/atom. The total magnetization comes out at 0.03 μB per cell. Its total energy is -60.8 eV/f.u.



# 2
Compound: USiTc3
Source: Alexandria via LeMat-Bulk
Functional: PBE-GGA
Structure: relaxed

a = 3.844 Å, b = 7.799 Å, c = 5.629 Å
α = 90.00°, β = 90.00°, γ = 90.00°
Space group Pmc2_1 (No. 26)
Asymmetric unit:
U (0.000, 0.126, 0.000)
Si (0.500, 0.355, 0.647)
Tc (0.000, 0.175, 0.500)
Tc (0.000, 0.482, 0.858)
Tc (0.500, 0.310, 0.166)

Calculated values
The volume comes out at 16.87 Å³/atom. The total magnetization comes out at 0.00 μB per cell. Its total energy is -48.2 eV/f.u.